## i
Entry from the Alexandria database: Sc2CdHgH after structural relaxation (PBE-GGA).

POSCAR file:
```
Sc2CdHgH
1.0
-1.545 3.915 -1.389
0.399 -1.335 -4.207
-4.167 -1.605 0.113
Sc H Hg Cd
2 1 1 1
Direct
0.500 0.000 0.000 Sc
0.000 0.500 0.000 Sc
0.000 0.000 0.000 H
0.500 0.500 0.500 Hg
0.000 0.000 0.500 Cd
```

- Space group: No. 123
- ρ: 7.6 g/cm3

## ii
Entry from the Alexandria database: Sc2CdHgH after structural relaxation (PBE-GGA).

POSCAR file:
```
Sc2CdHgH
1.0
-1.800 1.336 3.829
1.571 -3.633 2.005
3.802 2.206 1.018
H Sc Cd Hg
1 2 1 1
Direct
0.000 0.000 0.000 H
0.500 0.000 0.000 Sc
0.000 0.500 0.000 Sc
0.500 0.500 0.500 Cd
0.000 0.000 0.500 Hg
```

- Space group: No. 123
- ρ: 7.6 g/cm3

Sorted by energy, starting with the most stable: i, ii.

## i
Entry from the Alexandria database: TaCdHgH after structural relaxation (PBE-GGA).

POSCAR file:
```
TaCdHgH
1.0
-1.230 -2.383 -4.428
-0.551 -2.371 1.429
-4.560 2.057 1.655
Hg H Cd Ta
1 1 1 1
Direct
0.909 0.500 0.287 Hg
0.192 0.500 0.967 H
0.496 0.500 0.702 Cd
0.396 0.000 0.188 Ta
```

- Space group: No. 6
- ρ: 11.0 g/cm3

## ii
Entry from the Alexandria database: TaCdHgH after structural relaxation (PBE-GGA).

POSCAR file:
```
TaCdHgH
1.0
-2.842 1.332 -0.033
-0.296 -0.736 -4.123
-4.264 -9.048 1.921
Ta Hg Cd H
2 2 2 2
Direct
0.000 0.500 0.667 Ta
0.000 0.000 0.167 Ta
0.000 0.500 0.964 Hg
0.000 0.000 0.464 Hg
0.500 0.000 0.800 Cd
0.500 0.500 0.300 Cd
0.500 0.500 0.566 H
0.500 0.000 0.066 H
```

- Space group: No. 38
- ρ: 12.2 g/cm3

Sorted by energy, starting with the most stable: i, ii.

## i
Entry from the Alexandria database: TaCdHgH after structural relaxation (PBE-GGA).

POSCAR file:
```
TaCdHgH
1.0
7.567 0.000 0.008
0.000 3.190 0.000
-1.336 0.000 5.320
Ta Cd H Hg
2 2 2 2
Direct
0.979 0.000 0.159 Ta
0.979 0.500 0.659 Ta
0.640 0.000 0.712 Cd
0.640 0.500 0.212 Cd
0.935 0.000 0.479 H
0.935 0.500 0.979 H
0.302 0.000 0.933 Hg
0.302 0.500 0.433 Hg
```

- Space group: No. 8
- ρ: 12.8 g/cm3

## ii
Entry from the Alexandria database: TaCdHgH after structural relaxation (PBE-GGA).

POSCAR file:
```
TaCdHgH
1.0
-4.382 0.341 -2.786
1.279 -1.350 -2.176
-0.697 -4.625 2.458
Hg Ta Cd H
1 1 1 1
Direct
0.153 0.000 0.071 Hg
0.651 0.500 0.048 Ta
0.662 0.000 0.551 Cd
0.390 0.500 0.768 H
```

- Space group: No. 6
- ρ: 10.6 g/cm3

## iii
Entry from the Alexandria database: TaCdHgH after structural relaxation (PBE-GGA).

POSCAR file:
```
TaCdHgH
1.0
3.114 0.000 0.000
0.000 3.005 0.000
0.000 0.000 14.003
H Cd Ta Hg
2 2 2 2
Direct
0.000 0.000 0.237 H
0.000 0.500 0.737 H
0.500 0.000 0.771 Cd
0.500 0.500 0.271 Cd
0.000 0.000 0.109 Ta
0.000 0.500 0.609 Ta
0.500 0.000 0.455 Hg
0.500 0.500 0.955 Hg
```

- Space group: No. 38
- ρ: 12.5 g/cm3

## iv
Entry from the Alexandria database: TaCdHgH after structural relaxation (PBE-GGA).

POSCAR file:
```
TaCdHgH
1.0
-0.578 -1.935 2.165
1.196 -2.170 -1.620
7.235 1.528 3.296
H Ta Cd Hg
1 1 1 1
Direct
0.000 0.000 0.086 H
0.500 0.500 0.589 Ta
0.000 0.000 0.319 Cd
0.000 0.000 0.862 Hg
```

- Space group: No. 99
- ρ: 11.6 g/cm3

Sorted by energy, starting with the most stable: i, iii, ii, iv.

## i
Entry from the Alexandria database: HoCdH after structural relaxation (PBE-GGA).

POSCAR file:
```
HoCdH
1.0
5.257 0.070 0.093
0.088 9.779 -0.289
0.088 -3.038 9.299
Ho H Cd
8 8 8
Direct
0.100 0.141 0.496 Ho
0.100 0.496 0.141 Ho
0.125 0.103 0.103 Ho
0.784 0.608 0.608 Ho
0.757 0.986 0.756 Ho
0.739 0.809 0.382 Ho
0.757 0.756 0.986 Ho
0.739 0.382 0.809 Ho
0.903 0.358 0.598 H
0.277 0.167 0.314 H
0.663 0.790 0.790 H
0.947 0.932 0.932 H
0.903 0.598 0.358 H
0.277 0.314 0.167 H
0.797 0.544 0.019 H
0.797 0.019 0.544 H
0.257 0.577 0.811 Cd
0.257 0.811 0.577 Cd
0.238 0.203 0.819 Cd
0.622 0.248 0.044 Cd
0.792 0.336 0.336 Cd
0.622 0.044 0.248 Cd
0.238 0.819 0.203 Cd
0.310 0.458 0.458 Cd
```

- Space group: No. 8
- ρ: 7.8 g/cm3

## ii
Entry from the Alexandria database: HoCdH after structural relaxation (PBE-GGA).

POSCAR file:
```
HoCdH
1.0
-2.086 -2.035 -1.230
2.299 -1.306 -1.738
1.005 -2.043 5.745
Cd H Ho
1 1 1
Direct
0.008 0.008 0.017 Cd
0.264 0.264 0.528 H
0.727 0.727 0.455 Ho
```

- Space group: No. 107
- ρ: 8.0 g/cm3

## iii
Entry from the Alexandria database: HoCdH after structural relaxation (PBE-GGA).

POSCAR file:
```
HoCdH
1.0
3.680 0.000 0.000
-1.840 3.187 0.000
0.000 0.000 5.020
Cd H Ho
1 1 1
Direct
0.000 0.000 0.000 Cd
0.333 0.667 0.500 H
0.667 0.333 0.500 Ho
```

- Space group: No. 187
- ρ: 7.8 g/cm3

Sorted by energy, starting with the most stable: iii, i, ii.

## i
Entry from the Alexandria database: CdH2I2 after structural relaxation (PBE-GGA).

POSCAR file:
```
CdH2I2
1.0
-1.632 -2.305 2.812
-2.084 -1.932 -2.794
2.977 -6.362 -0.663
I Cd H
2 1 2
Direct
0.651 0.651 0.697 I
0.349 0.349 0.303 I
0.000 0.000 0.000 Cd
0.250 0.750 0.500 H
0.750 0.250 0.500 H
```

- Space group: No. 139
- ρ: 6.0 g/cm3

## ii
Entry from the Alexandria database: CdH2I2 after structural relaxation (PBE-GGA).

POSCAR file:
```
CdH2I2
1.0
9.821 0.000 0.000
0.000 7.460 -0.853
0.000 1.257 9.988
H I Cd
8 8 4
Direct
0.763 0.452 0.256 H
0.732 0.538 0.232 H
0.263 0.048 0.744 H
0.268 0.462 0.768 H
0.737 0.952 0.256 H
0.768 0.038 0.232 H
0.232 0.962 0.768 H
0.237 0.548 0.744 H
0.404 0.749 0.107 I
0.597 0.755 0.591 I
0.596 0.251 0.893 I
0.904 0.751 0.893 I
0.096 0.249 0.107 I
0.403 0.245 0.409 I
0.097 0.745 0.409 I
0.903 0.255 0.591 I
0.749 0.003 0.742 Cd
0.751 0.503 0.742 Cd
0.249 0.497 0.258 Cd
0.251 0.997 0.258 Cd
```

- Space group: No. 14
- ρ: 3.3 g/cm3

Sorted by energy, starting with the most stable: ii, i.

## i
Entry from the Alexandria database: Cd3HI after structural relaxation (PBE-GGA).

POSCAR file:
```
Cd3HI
1.0
6.711 0.000 0.000
0.000 6.711 0.000
0.000 0.000 6.711
Cd H I
3 1 1
Direct
0.500 0.000 0.000 Cd
0.000 0.000 0.500 Cd
0.000 0.500 0.000 Cd
0.500 0.500 0.500 H
0.000 0.000 0.000 I
```

- Space group: No. 221
- ρ: 2.6 g/cm3

## ii
Entry from the Alexandria database: Cd3HI after structural relaxation (PBE-GGA).

POSCAR file:
```
Cd3HI
1.0
-1.184 -4.706 -0.915
1.858 0.418 -4.556
4.419 -1.436 1.670
H I Cd
1 1 3
Direct
0.000 0.000 0.000 H
0.500 0.500 0.500 I
0.000 0.000 0.500 Cd
0.500 0.000 0.000 Cd
0.000 0.500 0.000 Cd
```

- Space group: No. 221
- ρ: 6.4 g/cm3

Sorted by energy, starting with the most stable: ii, i.

## i
Entry from the Alexandria database: CdHI after structural relaxation (PBE-GGA).

POSCAR file:
```
CdHI
1.0
-1.799 -2.853 3.851
-1.238 -3.875 -3.448
5.288 -4.537 -0.900
Cd H I
2 2 2
Direct
0.085 0.812 0.498 Cd
0.585 0.193 0.498 Cd
0.334 0.935 0.635 H
0.835 0.071 0.361 H
0.335 0.652 0.199 I
0.835 0.354 0.797 I
```

- Space group: No. 1
- ρ: 4.5 g/cm3

## ii
Entry from the Alexandria database: CdHI after structural relaxation (PBE-GGA).

POSCAR file:
```
CdHI
1.0
5.834 0.009 0.008
2.432 2.883 0.009
-0.004 -0.009 4.450
Cd H I
1 1 1
Direct
0.252 0.784 0.445 Cd
0.251 0.285 0.442 H
0.751 0.283 0.942 I
```

- Space group: No. 6
- ρ: 5.3 g/cm3

## iii
Entry from the Alexandria database: CdHI after structural relaxation (PBE-GGA).

POSCAR file:
```
CdHI
1.0
-4.460 1.251 3.587
0.825 -3.732 2.325
1.893 3.994 5.746
I H Cd
2 2 2
Direct
0.259 0.111 0.670 I
0.986 0.610 0.217 I
0.764 0.610 0.791 H
0.481 0.110 0.097 H
0.446 0.611 0.854 Cd
0.799 0.110 0.033 Cd
```

- Space group: No. 2
- ρ: 4.6 g/cm3

Sorted by energy, starting with the most stable: i, iii, ii.

## i
Entry from the Alexandria database: CdHI2N after structural relaxation (PBE-GGA).

POSCAR file:
```
CdHI2N
1.0
-1.444 4.210 5.175
1.069 -5.080 4.431
2.818 0.748 0.178
Cd N H I
1 1 1 2
Direct
0.500 0.500 0.500 Cd
0.000 0.000 0.500 N
0.000 0.000 0.000 H
0.000 0.500 0.000 I
0.500 0.000 0.000 I
```

- Space group: No. 123
- ρ: 4.7 g/cm3

## ii
Entry from the Alexandria database: CdHI2N after structural relaxation (PBE-GGA).

POSCAR file:
```
CdHI2N
1.0
6.095 0.000 0.000
0.000 6.095 0.000
0.000 0.000 4.330
I H N Cd
2 1 1 1
Direct
0.000 0.500 0.000 I
0.500 0.000 0.000 I
0.500 0.500 0.500 H
0.000 0.000 0.500 N
0.000 0.000 0.000 Cd
```

- Space group: No. 123
- ρ: 3.9 g/cm3

Sorted by energy, starting with the most stable: i, ii.

## i
Entry from the Alexandria database: CdHIO2 after structural relaxation (PBE-GGA).

POSCAR file:
```
CdHIO2
1.0
-1.482 3.069 2.194
0.378 -2.224 3.367
6.770 2.590 0.950
H Cd O I
1 1 2 1
Direct
0.500 0.500 0.500 H
0.000 0.000 0.000 Cd
0.000 0.500 0.000 O
0.500 0.000 0.000 O
0.000 0.000 0.500 I
```

- Space group: No. 123
- ρ: 3.8 g/cm3

## ii
Entry from the Alexandria database: CdHIO2 after structural relaxation (PBE-GGA).

POSCAR file:
```
CdHIO2
1.0
-3.162 0.198 3.106
2.613 -2.236 2.803
1.319 2.987 1.153
Cd I O H
1 1 2 1
Direct
0.500 0.500 0.500 Cd
0.000 0.000 0.500 I
0.000 0.500 0.000 O
0.500 0.000 0.000 O
0.000 0.000 0.000 H
```

- Space group: No. 123
- ρ: 6.6 g/cm3

Sorted by energy, starting with the most stable: ii, i.

## i
Entry from the Alexandria database: CdSbHI2 after structural relaxation (PBE-GGA).

POSCAR file:
```
CdSbHI2
1.0
-0.092 5.736 -0.634
-5.752 -0.141 -0.445
-0.314 0.429 3.923
Cd I Sb H
1 2 1 1
Direct
0.500 0.500 0.500 Cd
0.000 0.500 0.000 I
0.500 0.000 0.000 I
0.000 0.000 0.500 Sb
0.000 0.000 0.000 H
```

- Space group: No. 123
- ρ: 6.2 g/cm3

## ii
Entry from the Alexandria database: CdSbHI2 after structural relaxation (PBE-GGA).

POSCAR file:
```
CdSbHI2
1.0
-3.386 2.491 -4.312
1.214 -4.644 -3.636
-4.529 -2.733 1.978
Sb I H Cd
1 2 1 1
Direct
0.000 0.000 0.500 Sb
0.500 0.000 0.000 I
0.000 0.500 0.000 I
0.500 0.500 0.500 H
0.000 0.000 0.000 Cd
```

- Space group: No. 123
- ρ: 4.0 g/cm3

Sorted by energy, starting with the most stable: i, ii.

## i
Entry from the Alexandria database: CdSb2HI after structural relaxation (PBE-GGA).

POSCAR file:
```
CdSb2HI
1.0
-3.810 -0.561 -1.996
2.005 -2.061 -3.248
-0.952 -6.801 3.727
Cd I Sb H
1 1 2 1
Direct
0.500 0.500 0.500 Cd
0.000 0.000 0.500 I
0.000 0.500 0.000 Sb
0.500 0.000 0.000 Sb
0.000 0.000 0.000 H
```

- Space group: No. 123
- ρ: 5.5 g/cm3

## ii
Entry from the Alexandria database: CdSb2HI after structural relaxation (PBE-GGA).

POSCAR file:
```
CdSb2HI
1.0
5.604 0.000 0.000
0.000 5.604 0.000
0.000 0.000 6.199
I H Sb Cd
1 1 2 1
Direct
0.000 0.000 0.500 I
0.500 0.500 0.500 H
0.500 0.000 0.000 Sb
0.000 0.500 0.000 Sb
0.000 0.000 0.000 Cd
```

- Space group: No. 123
- ρ: 4.1 g/cm3

Sorted by energy, starting with the most stable: i, ii.